A plane-wave DFT calculation with PBE was carried out for a geometry-optimized Pr2B3Rh6 structure.

As for the total magnetization: 0.00 μB per formula unit. The formation energy comes out at -316 meV/atom. The calculation puts the density of states at the Fermi level at 10.270 states/eV per cell.

The space group is P-62m (No. 189) and the conventional cell measures 7.3014, 7.3014 and 3.6448 Å, with angles of 90.00, 90.00 and 120.00 degrees. Symmetry generates all atoms from Pr at (0.3333, 0.6667, 0.0000), B at (0.0000, 0.6310, 0.5000), Rh at (0.0000, 0.3216, 0.5000) and Rh at (0.0000, 0.7806, 0.0000).

A plane-wave DFT calculation with PBE was carried out for a geometry-optimized GdPaGa2 structure.

As for the total magnetization: 8.19 μB per formula unit. The formation energy comes out at -294 meV/atom. The calculation puts the density of states at the Fermi level at 27.999 states/eV per cell.

The space group is Fm-3m (No. 225) and the conventional cell measures 7.172, 7.172 and 7.172 Å, with angles of 90.00, 90.00 and 90.00 degrees. Symmetry generates all atoms from Gd at (0.000, 0.000, 0.000), Pa at (0.000, 0.000, 0.500) and Ga at (0.250, 0.250, 0.250).

Copy entry 2 word for word.
A plane-wave DFT calculation with PBE was carried out for a geometry-optimized GdPaGa2 structure.

As for the total magnetization: 8.19 μB per formula unit. The formation energy comes out at -294 meV/atom. The calculation puts the density of states at the Fermi level at 27.999 states/eV per cell.

The space group is Fm-3m (No. 225) and the conventional cell measures 7.172, 7.172 and 7.172 Å, with angles of 90.00, 90.00 and 90.00 degrees. Symmetry generates all atoms from Gd at (0.000, 0.000, 0.000), Pa at (0.000, 0.000, 0.500) and Ga at (0.250, 0.250, 0.250).